Record 1
Entry from Alexandria: a relaxed AlSiP3 crystal (PBE-GGA).

abc: 5.8994 6.1403 9.9055
angles: 90.00 90.00 90.00
Closest atoms and distances in Å follow each position.
Atoms (fractional coordinates):
Al 0.0000 0.0000 0.0000  6 P 2.46-2.62
Al 0.5000 0.5000 0.5000  6 P 2.46-2.62
Al 0.5000 0.5000 0.0000  6 P 2.46-2.62
Al 0.0000 0.0000 0.5000  6 P 2.46-2.62
Si 0.9996 0.5632 0.7500  4 P 2.25-2.29
Si 0.0004 0.4368 0.2500  4 P 2.25-2.29
Si 0.5004 0.0632 0.2500  4 P 2.25-2.29
Si 0.4996 0.9368 0.7500  4 P 2.25-2.29
P 0.3874 0.5861 0.7500  2 Si 2.25-2.29
P 0.1104 0.6075 0.4415  1 P 2.19, 1 Si 2.26
P 0.6104 0.8925 0.0585  1 P 2.19, 1 Si 2.26
P 0.3896 0.1075 0.5585  1 P 2.19, 1 Si 2.26
P 0.3896 0.1075 0.9415  1 P 2.19, 1 Si 2.26
P 0.8896 0.3925 0.5585  1 P 2.19, 1 Si 2.26
P 0.1104 0.6075 0.0585  1 P 2.19, 1 Si 2.26
P 0.6104 0.8925 0.4415  1 P 2.19, 1 Si 2.26
P 0.8874 0.9139 0.7500  2 Si 2.25-2.29
P 0.1126 0.0861 0.2500  2 Si 2.25-2.29
P 0.6126 0.4139 0.2500  2 Si 2.25-2.29
P 0.8896 0.3925 0.9415  1 P 2.19, 1 Si 2.26

Density ... 2.74 g/cm3
Energy relative to the elements, uncorrected ... -30 kJ per mole of atoms
D(E_F) ... 0.1 states/eV/f.u.
Energy ... -5.389 eV/atom
E above lowest polymorph ... 0 meV/atom
Symmetry ... Pnma

=====

Record 2
Entry from Alexandria: a relaxed Al2SiP crystal (PBE-GGA).

abc: 2.9969 2.9969 6.9745
angles: 90.00 90.00 97.14
Closest atoms and distances in Å follow each position.
Atoms (fractional coordinates):
P 0.5000 0.5000 0.2500  8 Al 2.56-2.77
Si 0.5000 0.5000 0.7500  8 Al 2.73-2.92, 4 Si 3.00
Al 0.0000 0.0000 0.0185  4 P 2.56-2.77, 2 Si 2.73
Al 0.0000 0.0000 0.4815  4 P 2.56-2.77, 2 Si 2.73

Density ... 3.02 g/cm3
Energy relative to the elements, uncorrected ... 18 kJ per mole of atoms
D(E_F) ... 1.8 states/eV/f.u.
Energy ... -4.392 eV/atom
E above lowest polymorph ... 230 meV/atom
Symmetry ... Cmmm

=====

Record 3
Entry from Alexandria: a relaxed AlSiP crystal (PBE-GGA).

abc: 3.8745 3.8745 28.8029
angles: 90.00 90.00 120.00
Closest atoms and distances in Å follow each position.
Atoms (fractional coordinates):
P 0.0000 0.0000 0.5472  4 Al 2.37-2.39
P 0.3333 0.6667 0.2139  4 Al 2.37-2.39
P 0.6667 0.3333 0.8806  4 Al 2.37-2.39
P 0.0000 0.0000 0.7698  1 Si 2.30, 3 Al 2.38
P 0.3333 0.6667 0.4364  1 Si 2.30, 3 Al 2.38
P 0.6667 0.3333 0.1031  1 Si 2.30, 3 Al 2.38
Si 0.0000 0.0000 0.9961  3 Si 2.37, 1 Al 2.49
Si 0.3333 0.6667 0.6628  3 Si 2.37, 1 Al 2.49
Si 0.6667 0.3333 0.3294  3 Si 2.37, 1 Al 2.49
Si 0.0000 0.0000 0.6900  1 P 2.30, 3 Si 2.37
Si 0.3333 0.6667 0.3566  1 P 2.30, 3 Si 2.37
Si 0.6667 0.3333 0.0233  1 P 2.30, 3 Si 2.37
Al 0.0000 0.0000 0.9095  3 P 2.39, 1 Si 2.49
Al 0.3333 0.6667 0.5761  3 P 2.39, 1 Si 2.49
Al 0.6667 0.3333 0.2428  3 P 2.39, 1 Si 2.49
Al 0.0000 0.0000 0.4650  4 P 2.37-2.38
Al 0.3333 0.6667 0.1317  4 P 2.37-2.38
Al 0.6667 0.3333 0.7983  4 P 2.37-2.38

Density ... 2.29 g/cm3
Energy relative to the elements, uncorrected ... -34 kJ per mole of atoms
Energy ... -5.213 eV/atom
E above lowest polymorph ... 3 meV/atom
Symmetry ... R3m

=====

Record 4
Entry from Alexandria: a relaxed AlSi2P2 crystal (PBE-GGA).

abc: 4.2266 4.2266 4.9163
angles: 89.87 89.87 66.32
Closest atoms and distances in Å follow each position.
Atoms (fractional coordinates):
Al 0.0000 0.0000 0.0000  6 P 2.60-2.89, 2 Si 2.61
Si 0.6795 0.6795 0.7379  5 P 2.42-2.54, 1 Al 2.61
Si 0.3205 0.3205 0.2621  5 P 2.42-2.54, 1 Al 2.61
P 0.3260 0.3260 0.7545  5 Si 2.42-2.54, 1 Al 2.60
P 0.6740 0.6740 0.2455  5 Si 2.42-2.54, 1 Al 2.60

Density ... 3.00 g/cm3
Energy relative to the elements, uncorrected ... 21 kJ per mole of atoms
D(E_F) ... 1.8 states/eV/f.u.
Energy ... -4.867 eV/atom
E above lowest polymorph ... 0 meV/atom
Symmetry ... C2/m

=====

Let's list magnetization in order: 0.00; 0.00; 0.00; 0.00 μB/f.u..